# Ac2PrPt9 (PBE, optimized geometry)
data_Ac2PrPt9
_chemical_formula_sum 'Ac6 Pr3 Pt27'
_cell_length_a 5.5402
_cell_length_b 5.5402
_cell_length_c 27.3148
_cell_angle_alpha 90.00
_cell_angle_beta 90.00
_cell_angle_gamma 120.00
_space_group_name_H-M_alt 'R -3 m'
_space_group_IT_number 166
_space_group_name_Hall '-R 3 2"'
loop_
_atom_site_label
_atom_site_fract_x
_atom_site_fract_y
_atom_site_fract_z
Ac1 0.0000 0.0000 0.1386
Pr1 0.0000 0.0000 0.0000
Pt1 0.0000 0.0000 0.3326
Pt2 0.0000 0.0000 0.5000
Pt3 0.0024 0.5012 0.9174
# - E: -0.478 Ry per atom

***

# DyInO3 (PBE, optimized geometry)
data_DyInO3
_chemical_formula_sum 'Dy1 In1 O3'
_cell_length_a 4.1224
_cell_length_b 4.1224
_cell_length_c 4.1224
_cell_angle_alpha 90.00
_cell_angle_beta 90.00
_cell_angle_gamma 90.00
_space_group_name_H-M_alt 'P m -3 m'
_space_group_IT_number 221
_space_group_name_Hall '-P 4 2 3'
loop_
_atom_site_label
_atom_site_fract_x
_atom_site_fract_y
_atom_site_fract_z
Dy1 0.0000 0.0000 0.0000
In1 0.5000 0.5000 0.5000
O1 0.0000 0.5000 0.5000
# - Uncorrected formation energy: -1.889 eV/atom
# - E: -0.465 Ry per atom

***

# Cu3BSe (PBE, optimized geometry)
data_Cu3BSe
_chemical_formula_sum 'Cu3 B1 Se1'
_cell_length_a 4.5372
_cell_length_b 4.5372
_cell_length_c 4.5372
_cell_angle_alpha 90.00
_cell_angle_beta 90.00
_cell_angle_gamma 90.00
_space_group_name_H-M_alt 'P m -3 m'
_space_group_IT_number 221
_space_group_name_Hall '-P 4 2 3'
loop_
_atom_site_label
_atom_site_fract_x
_atom_site_fract_y
_atom_site_fract_z
Cu1 0.0000 0.0000 0.5000
B1 0.5000 0.5000 0.5000
Se1 0.0000 0.0000 0.0000
# - Uncorrected formation energy: 1.287 eV/atom
# - Energy above the lowest structure with this stoichiometry: 842 meV per atom
# - E: -0.235 Ry per atom

***

# InFe2CuH (PBE, optimized geometry)
data_InFe2CuH
_chemical_formula_sum 'In1 Fe2 Cu1 H1'
_cell_length_a 3.7456
_cell_length_b 3.7456
_cell_length_c 4.1379
_cell_angle_alpha 90.00
_cell_angle_beta 90.00
_cell_angle_gamma 90.00
_space_group_name_H-M_alt 'P 4/m m m'
_space_group_IT_number 123
_space_group_name_Hall '-P 4 2'
loop_
_atom_site_label
_atom_site_fract_x
_atom_site_fract_y
_atom_site_fract_z
In1 0.0000 0.0000 0.0000
Fe1 0.0000 0.5000 0.5000
Cu1 0.5000 0.5000 0.0000
H1 0.5000 0.5000 0.5000
# - E: -0.389 Ry per atom

***

# CaIn2GaSn (PBE, optimized geometry)
data_CaIn2GaSn
_chemical_formula_sum 'Ca4 In8 Ga4 Sn4'
_cell_length_a 5.1798
_cell_length_b 15.5660
_cell_length_c 6.3381
_cell_angle_alpha 90.00
_cell_angle_beta 90.00
_cell_angle_gamma 90.00
_space_group_name_H-M_alt 'C m c m'
_space_group_IT_number 63
_space_group_name_Hall '-C 2c 2'
loop_
_atom_site_label
_atom_site_fract_x
_atom_site_fract_y
_atom_site_fract_z
Ca1 0.0000 0.0919 0.2500
In1 0.0000 0.3004 0.0028
Ga1 0.0000 0.1174 0.7500
Sn1 0.0000 0.5000 0.0000
# - E: -0.232 Ry per atom

***

# Ac4Nd8Y (PBE, optimized geometry)
data_Ac4Nd8Y
_chemical_formula_sum 'Ac12 Nd24 Y3'
_cell_length_a 11.6159
_cell_length_b 11.6159
_cell_length_c 14.2070
_cell_angle_alpha 90.00
_cell_angle_beta 90.00
_cell_angle_gamma 120.00
_space_group_name_H-M_alt 'R -3 m'
_space_group_IT_number 166
_space_group_name_Hall '-R 3 2"'
loop_
_atom_site_label
_atom_site_fract_x
_atom_site_fract_y
_atom_site_fract_z
Ac1 0.0000 0.0000 0.0000
Ac2 0.0000 0.5000 0.0000
Nd1 0.0000 0.0000 0.2420
Nd2 0.0105 0.5052 0.7470
Y1 0.0000 0.0000 0.5000
# - E: -0.308 Ry per atom

***

# SrInNiAu2 (PBE, optimized geometry)
data_SrInNiAu2
_chemical_formula_sum 'Sr1 In1 Ni1 Au2'
_cell_length_a 4.9633
_cell_length_b 4.9633
_cell_length_c 4.6990
_cell_angle_alpha 90.00
_cell_angle_beta 90.00
_cell_angle_gamma 90.00
_space_group_name_H-M_alt 'P 4/m m m'
_space_group_IT_number 123
_space_group_name_Hall '-P 4 2'
loop_
_atom_site_label
_atom_site_fract_x
_atom_site_fract_y
_atom_site_fract_z
Sr1 0.0000 0.0000 0.0000
In1 0.5000 0.5000 0.0000
Ni1 0.5000 0.5000 0.5000
Au1 0.0000 0.5000 0.5000
# - E: -0.265 Ry per atom

***

# Sc2CrIn (PBE, optimized geometry)
data_Sc2CrIn
_chemical_formula_sum 'Sc2 Cr1 In1'
_cell_length_a 3.3777
_cell_length_b 3.3777
_cell_length_c 7.1132
_cell_angle_alpha 90.00
_cell_angle_beta 90.00
_cell_angle_gamma 90.00
_space_group_name_H-M_alt 'P 4/m m m'
_space_group_IT_number 123
_space_group_name_Hall '-P 4 2'
loop_
_atom_site_label
_atom_site_fract_x
_atom_site_fract_y
_atom_site_fract_z
Sc1 0.0000 0.0000 0.2232
Cr1 0.5000 0.5000 0.0000
In1 0.5000 0.5000 0.5000
# - E: -0.468 Ry per atom

***

Repeat the second record exactly.
# DyInO3 (PBE, optimized geometry)
data_DyInO3
_chemical_formula_sum 'Dy1 In1 O3'
_cell_length_a 4.1224
_cell_length_b 4.1224
_cell_length_c 4.1224
_cell_angle_alpha 90.00
_cell_angle_beta 90.00
_cell_angle_gamma 90.00
_space_group_name_H-M_alt 'P m -3 m'
_space_group_IT_number 221
_space_group_name_Hall '-P 4 2 3'
loop_
_atom_site_label
_atom_site_fract_x
_atom_site_fract_y
_atom_site_fract_z
Dy1 0.0000 0.0000 0.0000
In1 0.5000 0.5000 0.5000
O1 0.0000 0.5000 0.5000
# - Uncorrected formation energy: -1.889 eV/atom
# - E: -0.465 Ry per atom

***

> What is the E in the sixth record?

-0.308 Ry per atom

***

Copy entry 8 word for word.
# Sc2CrIn (PBE, optimized geometry)
data_Sc2CrIn
_chemical_formula_sum 'Sc2 Cr1 In1'
_cell_length_a 3.3777
_cell_length_b 3.3777
_cell_length_c 7.1132
_cell_angle_alpha 90.00
_cell_angle_beta 90.00
_cell_angle_gamma 90.00
_space_group_name_H-M_alt 'P 4/m m m'
_space_group_IT_number 123
_space_group_name_Hall '-P 4 2'
loop_
_atom_site_label
_atom_site_fract_x
_atom_site_fract_y
_atom_site_fract_z
Sc1 0.0000 0.0000 0.2232
Cr1 0.5000 0.5000 0.0000
In1 0.5000 0.5000 0.5000
# - E: -0.468 Ry per atom

***

> The highest E belongs to which entry?

CaIn2GaSn